No. 1
# Pm2MgGa4Rh3, optimized geometry, DFT PBE-GGA
data_Pm2MgGa4Rh3
_symmetry_space_group_name_H-M 'P -4 m 2'
_symmetry_Int_Tables_number 115
_cell_length_a 4.0909
_cell_length_b 4.0909
_cell_length_c 11.4474
_cell_angle_alpha 90.00
_cell_angle_beta 90.00
_cell_angle_gamma 90.00
loop_
_symmetry_equiv_pos_as_xyz
'x,y,z'
'y,-x,-z'
'-x,-y,z'
'-y,x,-z'
'-x,y,z'
'-y,-x,-z'
'x,-y,z'
'y,x,-z'
loop_
_atom_site_label
_atom_site_type_symbol
_atom_site_fract_x
_atom_site_fract_y
_atom_site_fract_z
Pm1 Pm 0.0000 0.5000 0.2334
Mg1 Mg 0.0000 0.0000 0.5000
Ga1 Ga 0.0000 0.0000 0.0000
Ga2 Ga 0.0000 0.5000 0.6458
Ga3 Ga 0.5000 0.5000 0.0000
Rh1 Rh 0.0000 0.5000 0.8672
Rh2 Rh 0.5000 0.5000 0.5000
# E = -52.1 eV/f.u.

***

No. 2
# PmMgGa2Rh2, optimized geometry, DFT PBE-GGA
data_PmMgGa2Rh2
_symmetry_space_group_name_H-M 'P -3 m 1'
_symmetry_Int_Tables_number 164
_symmetry_space_group_name_Hall '-P 3 2"'
_cell_length_a 4.3436
_cell_length_b 4.3436
_cell_length_c 6.7922
_cell_angle_alpha 90.00
_cell_angle_beta 90.00
_cell_angle_gamma 120.00
loop_
_atom_site_label
_atom_site_type_symbol
_atom_site_fract_x
_atom_site_fract_y
_atom_site_fract_z
Pm1 Pm 0.0000 0.0000 0.0000
Mg1 Mg 0.0000 0.0000 0.5000
Ga1 Ga 0.3333 0.6667 0.2768
Rh1 Rh 0.3333 0.6667 0.6590
# E = -31.5 eV/f.u.

***

No. 3
# PmMgGaRh, optimized geometry, DFT PBE-GGA
data_PmMgGaRh
_symmetry_space_group_name_H-M 'F -4 3 m'
_symmetry_Int_Tables_number 216
_symmetry_space_group_name_Hall 'F -4 2 3'
_cell_length_a 6.8544
_cell_length_b 6.8544
_cell_length_c 6.8544
_cell_angle_alpha 90.00
_cell_angle_beta 90.00
_cell_angle_gamma 90.00
loop_
_atom_site_label
_atom_site_type_symbol
_atom_site_fract_x
_atom_site_fract_y
_atom_site_fract_z
Pm1 Pm 0.0000 0.0000 0.0000
Mg1 Mg 0.0000 0.0000 0.5000
Ga1 Ga 0.2500 0.2500 0.7500
Rh1 Rh 0.2500 0.2500 0.2500
# E = -18.6 eV/f.u.

***

No. 4
# PmMgGaRu, optimized geometry, DFT PBE-GGA
data_PmMgGaRu
_symmetry_space_group_name_H-M 'F -4 3 m'
_symmetry_Int_Tables_number 216
_symmetry_space_group_name_Hall 'F -4 2 3'
_cell_length_a 6.8262
_cell_length_b 6.8262
_cell_length_c 6.8262
_cell_angle_alpha 90.00
_cell_angle_beta 90.00
_cell_angle_gamma 90.00
loop_
_atom_site_label
_atom_site_type_symbol
_atom_site_fract_x
_atom_site_fract_y
_atom_site_fract_z
Pm1 Pm 0.0000 0.0000 0.0000
Mg1 Mg 0.0000 0.0000 0.5000
Ga1 Ga 0.2500 0.2500 0.7500
Ru1 Ru 0.2500 0.2500 0.2500
# E = -19.2 eV/f.u.

***

No. 5
# PmMgGaS4, optimized geometry, DFT PBE-GGA
data_PmMgGaS4
_symmetry_space_group_name_H-M 'I m m a'
_symmetry_Int_Tables_number 74
_symmetry_space_group_name_Hall '-I 2b 2'
_cell_length_a 7.6878
_cell_length_b 7.7156
_cell_length_c 10.8064
_cell_angle_alpha 90.00
_cell_angle_beta 90.00
_cell_angle_gamma 90.00
loop_
_atom_site_label
_atom_site_type_symbol
_atom_site_fract_x
_atom_site_fract_y
_atom_site_fract_z
Pm1 Pm 0.2500 0.2500 0.2500
Mg1 Mg 0.0000 0.0000 0.0000
Ga1 Ga 0.0000 0.2500 0.6218
S1 S 0.0000 0.0090 0.7545
S2 S 0.2400 0.2500 0.9921
# raw formation energy = -1.2827 eV/atom

***

No. 6
# PmMgSc2Ga4, optimized geometry, DFT PBE-GGA
data_PmMgSc2Ga4
_symmetry_space_group_name_H-M 'R -3 m'
_symmetry_Int_Tables_number 166
_symmetry_space_group_name_Hall '-R 3 2"'
_cell_length_a 4.8074
_cell_length_b 4.8074
_cell_length_c 24.6975
_cell_angle_alpha 90.00
_cell_angle_beta 90.00
_cell_angle_gamma 120.00
loop_
_atom_site_label
_atom_site_type_symbol
_atom_site_fract_x
_atom_site_fract_y
_atom_site_fract_z
Pm1 Pm 0.0000 0.0000 0.0000
Mg1 Mg 0.0000 0.0000 0.5000
Sc1 Sc 0.0000 0.0000 0.2431
Ga1 Ga 0.0000 0.0000 0.1264
Ga2 Ga 0.0000 0.0000 0.3805
# E = -34.8 eV/f.u.

***

No. 7
# PmMgScGa, optimized geometry, DFT PBE-GGA
data_PmMgScGa
_symmetry_space_group_name_H-M 'F -4 3 m'
_symmetry_Int_Tables_number 216
_symmetry_space_group_name_Hall 'F -4 2 3'
_cell_length_a 7.1929
_cell_length_b 7.1929
_cell_length_c 7.1929
_cell_angle_alpha 90.00
_cell_angle_beta 90.00
_cell_angle_gamma 90.00
loop_
_atom_site_label
_atom_site_type_symbol
_atom_site_fract_x
_atom_site_fract_y
_atom_site_fract_z
Pm1 Pm 0.0000 0.0000 0.0000
Mg1 Mg 0.2500 0.2500 0.7500
Sc1 Sc 0.0000 0.0000 0.5000
Ga1 Ga 0.2500 0.2500 0.2500
# E = -17.0 eV/f.u.

***

No. 8
# PmMgGaSi, optimized geometry, DFT PBE-GGA
data_PmMgGaSi
_symmetry_space_group_name_H-M 'F -4 3 m'
_symmetry_Int_Tables_number 216
_symmetry_space_group_name_Hall 'F -4 2 3'
_cell_length_a 7.0082
_cell_length_b 7.0082
_cell_length_c 7.0082
_cell_angle_alpha 90.00
_cell_angle_beta 90.00
_cell_angle_gamma 90.00
loop_
_atom_site_label
_atom_site_type_symbol
_atom_site_fract_x
_atom_site_fract_y
_atom_site_fract_z
Pm1 Pm 0.0000 0.0000 0.0000
Mg1 Mg 0.0000 0.0000 0.5000
Ga1 Ga 0.2500 0.2500 0.2500
Si1 Si 0.2500 0.2500 0.7500
# raw formation energy = -0.2507 eV/atom

***

No. 9
# PmSmMgGa, optimized geometry, DFT PBE-GGA
data_PmSmMgGa
_symmetry_space_group_name_H-M 'F -4 3 m'
_symmetry_Int_Tables_number 216
_symmetry_space_group_name_Hall 'F -4 2 3'
_cell_length_a 7.4720
_cell_length_b 7.4720
_cell_length_c 7.4720
_cell_angle_alpha 90.00
_cell_angle_beta 90.00
_cell_angle_gamma 90.00
loop_
_atom_site_label
_atom_site_type_symbol
_atom_site_fract_x
_atom_site_fract_y
_atom_site_fract_z
Pm1 Pm 0.0000 0.0000 0.0000
Sm1 Sm 0.0000 0.0000 0.5000
Mg1 Mg 0.2500 0.2500 0.2500
Ga1 Ga 0.2500 0.2500 0.7500
# E = -15.5 eV/f.u.

***

No. 10
# Pm2Mg2Ga4Sn, optimized geometry, DFT PBE-GGA
data_Pm2Mg2Ga4Sn
_symmetry_space_group_name_H-M 'I 4/m m m'
_symmetry_Int_Tables_number 139
_symmetry_space_group_name_Hall '-I 4 2'
_cell_length_a 6.9782
_cell_length_b 6.9782
_cell_length_c 9.7746
_cell_angle_alpha 90.00
_cell_angle_beta 90.00
_cell_angle_gamma 90.00
loop_
_atom_site_label
_atom_site_type_symbol
_atom_site_fract_x
_atom_site_fract_y
_atom_site_fract_z
Pm1 Pm 0.0000 0.0000 0.1975
Mg1 Mg 0.0000 0.5000 0.2500
Ga1 Ga 0.2325 0.2325 0.0000
Sn1 Sn 0.0000 0.0000 0.5000
# E = -29.5 eV/f.u.

***

No. 11
# TbPmMgGa, optimized geometry, DFT PBE-GGA
data_TbPmMgGa
_symmetry_space_group_name_H-M 'F -4 3 m'
_symmetry_Int_Tables_number 216
_symmetry_space_group_name_Hall 'F -4 2 3'
_cell_length_a 7.4118
_cell_length_b 7.4118
_cell_length_c 7.4118
_cell_angle_alpha 90.00
_cell_angle_beta 90.00
_cell_angle_gamma 90.00
loop_
_atom_site_label
_atom_site_type_symbol
_atom_site_fract_x
_atom_site_fract_y
_atom_site_fract_z
Tb1 Tb 0.0000 0.0000 0.0000
Pm1 Pm 0.0000 0.0000 0.5000
Mg1 Mg 0.2500 0.2500 0.2500
Ga1 Ga 0.2500 0.2500 0.7500
# E = -15.4 eV/f.u.

***

No. 12
# Pm2MgGaTe5, optimized geometry, DFT PBE-GGA
data_Pm2MgGaTe5
_symmetry_space_group_name_H-M 'C m c 21'
_symmetry_Int_Tables_number 36
_cell_length_a 4.4340
_cell_length_b 18.8258
_cell_length_c 12.8707
_cell_angle_alpha 90.00
_cell_angle_beta 90.00
_cell_angle_gamma 90.00
loop_
_symmetry_equiv_pos_as_xyz
'x,y,z'
'-x,-y,z+1/2'
'-x,y,z'
'x,-y,z+1/2'
'x+1/2,y+1/2,z'
'-x+1/2,-y+1/2,z+1/2'
'-x+1/2,y+1/2,z'
'x+1/2,-y+1/2,z+1/2'
loop_
_atom_site_label
_atom_site_type_symbol
_atom_site_fract_x
_atom_site_fract_y
_atom_site_fract_z
Pm1 Pm 0.0000 0.1139 0.0000
Pm2 Pm 0.0000 0.1300 0.6195
Mg1 Mg 0.0000 0.2062 0.3300
Ga1 Ga 0.0000 0.4345 0.7783
Te1 Te 0.0000 0.0477 0.3929
Te2 Te 0.0000 0.2858 0.9822
Te3 Te 0.0000 0.3093 0.6640
Te4 Te 0.0000 0.3583 0.3140
Te5 Te 0.0000 0.4985 0.0946
# raw formation energy = -0.9761 eV/atom